# 1
BeZnSb2 | PBE | optimized geometry

E above lowest polymorph = 35 meV per atom
space group = No. 12
total magnetic moment = 0.0 Bohr magnetons per cell
formation energy (no corrections) = 0.920 eV/f.u.

abc: 3.814 3.814 6.894
angles: 105.51 105.51 59.08
Atoms (fractional coordinates):
Be1 0.000 0.000 0.000
Zn1 0.500 0.500 0.500
Sb1 0.262 0.262 0.783
Sb2 0.738 0.738 0.217


# 2
ZrBeZnSb2 | PBE | optimized geometry

space group = No. 123
total magnetic moment = 0.0 Bohr magnetons per cell
formation energy (no corrections) = 1.622 eV/f.u.

abc: 5.055 5.055 4.137
angles: 90.00 90.00 90.00
Atoms (fractional coordinates):
Zr1 0.000 0.000 0.000
Be1 0.500 0.500 0.500
Zn1 0.500 0.500 0.000
Sb1 0.000 0.500 0.500
Sb2 0.500 0.000 0.500


# 3
Zr2BeSb2 | PBE | optimized geometry

E above lowest polymorph = 417 meV per atom
space group = No. 139
total magnetic moment = 0.0 Bohr magnetons per cell
formation energy (no corrections) = 1.521 eV/f.u.

abc: 7.803 7.803 7.803
angles: 149.82 149.82 43.21
Atoms (fractional coordinates):
Zr1 0.099 0.099 0.000
Zr2 0.901 0.901 0.000
Be1 0.500 0.500 0.000
Sb1 0.250 0.750 0.500
Sb2 0.750 0.250 0.500


Copy entry 3 word for word.
Zr2BeSb2 | PBE | optimized geometry

E above lowest polymorph = 417 meV per atom
space group = No. 139
total magnetic moment = 0.0 Bohr magnetons per cell
formation energy (no corrections) = 1.521 eV/f.u.

abc: 7.803 7.803 7.803
angles: 149.82 149.82 43.21
Atoms (fractional coordinates):
Zr1 0.099 0.099 0.000
Zr2 0.901 0.901 0.000
Be1 0.500 0.500 0.000
Sb1 0.250 0.750 0.500
Sb2 0.750 0.250 0.500


Copy entry 1 word for word.
BeZnSb2 | PBE | optimized geometry

E above lowest polymorph = 35 meV per atom
space group = No. 12
total magnetic moment = 0.0 Bohr magnetons per cell
formation energy (no corrections) = 0.920 eV/f.u.

abc: 3.814 3.814 6.894
angles: 105.51 105.51 59.08
Atoms (fractional coordinates):
Be1 0.000 0.000 0.000
Zn1 0.500 0.500 0.500
Sb1 0.262 0.262 0.783
Sb2 0.738 0.738 0.217